Record 1
8
Lattice="7.159 -2.838 0.000 7.159 2.838 0.000 -1.728 0.000 5.911" Properties=species:S:1:pos:R:3 comment="Ce4InSb3 (GGA-PBE, optimized geometry)" total_energy_ev_per_atom=-5.32 magnetic_moment_mub_per_cell=5.74 dos_ef_per_ev_cell=21.9 pbc="T T T"
Ce 1.414 0.000 0.272
Ce 2.530 0.000 4.105
Ce 10.060 0.000 1.806
Ce 11.177 0.000 5.638
In -0.864 0.000 2.955
Sb 4.408 0.000 1.496
Sb 7.159 0.000 0.000
Sb 8.182 0.000 4.415

---

Record 2
4
Lattice="5.790 -1.586 0.000 5.790 1.586 0.000 -1.550 0.000 5.286" Properties=species:S:1:pos:R:3 comment="Y2InW (GGA-PBE, optimized geometry)" magnetic_moment_mub_per_cell=0.00 formation_enthalpy_0k_ev_per_atom=0.223 dos_ef_per_ev_cell=3.6 pbc="T T T"
Y 0.000 0.000 0.000
Y 1.320 0.000 3.421
In 4.371 0.000 2.467
W 8.314 0.000 0.879

---

Record 3
4
Lattice="3.708 -2.142 0.000 3.708 2.142 0.000 -2.481 0.000 7.012" Properties=species:S:1:pos:R:3 comment="CuAgICl (GGA-PBE, optimized geometry)" total_energy_ev_per_atom=-2.89 magnetic_moment_mub_per_cell=0.00 pbc="T T T"
Cu 0.000 0.000 0.000
Ag 2.470 0.000 3.345
I 2.460 0.000 6.148
Cl -0.004 0.000 2.346

---

Record 4
5
Lattice="5.791 0.000 0.000 0.000 5.791 0.000 0.000 0.000 3.478" Properties=species:S:1:pos:R:3 comment="RbAlSe2N (GGA-PBE, optimized geometry)" total_energy_ev_per_atom=-4.06 magnetic_moment_mub_per_cell=0.00 dos_ef_per_ev_cell=4.4 pbc="T T T"
Rb 0.000 0.000 0.000
Al 2.895 2.895 1.739
Se 0.000 2.895 1.739
Se 2.895 0.000 1.739
N 2.895 2.895 0.000

---

Record 5
3
Lattice="0.000 2.781 2.781 2.781 0.000 2.781 2.781 2.781 0.000" Properties=species:S:1:pos:R:3 comment="BeIrAu (GGA-PBE, optimized geometry)" magnetic_moment_mub_per_cell=0.00 formation_enthalpy_0k_ev_per_atom=-0.018 dos_ef_per_ev_cell=1.8 pbc="T T T"
Be 0.000 0.000 0.000
Ir 1.390 1.390 1.390
Au 4.171 4.171 4.171

---

Record 6
4
Lattice="1.892 1.092 9.329 -1.892 1.092 9.329 0.000 -2.184 9.329" Properties=species:S:1:pos:R:3 comment="PmTh2Ni (GGA-PBE, optimized geometry)" magnetic_moment_mub_per_cell=0.00 formation_enthalpy_0k_ev_per_atom=-0.064 dos_ef_per_ev_cell=6.9 pbc="T T T"
Pm 0.000 0.000 0.000
Th 0.000 0.000 15.816
Th 0.000 0.000 21.638
Ni 0.000 0.000 4.737

---

Record 7
12
Lattice="6.608 0.000 0.000 0.000 8.297 0.000 0.000 0.000 4.804" Properties=species:S:1:pos:R:3 comment="Ba2NaNiN2 (GGA-PBE, optimized geometry)" total_energy_ev_per_atom=-4.78 magnetic_moment_mub_per_cell=2.03 dos_ef_per_ev_cell=6.4 pbc="T T T"
Ba 0.691 2.076 0.000
Ba 2.613 6.225 2.402
Ba 3.995 2.072 2.402
Ba 5.917 6.221 0.000
Na 0.000 0.000 2.402
Na 3.304 4.149 0.000
Ni 0.000 4.149 2.402
Ni 3.304 0.000 0.000
N 1.629 3.391 2.402
N 1.675 7.540 0.000
N 4.933 0.757 0.000
N 4.979 4.906 2.402

---

Record 8
5
Lattice="5.001 0.000 0.000 0.000 5.001 0.000 0.000 0.000 4.923" Properties=species:S:1:pos:R:3 comment="HgOs2WBr (GGA-PBE, optimized geometry)" total_energy_ev_per_atom=-4.02 magnetic_moment_mub_per_cell=3.69 dos_ef_per_ev_cell=12.3 pbc="T T T"
Hg 0.000 0.000 0.000
Os 0.000 2.500 0.000
Os 2.500 0.000 0.000
W 2.500 2.500 2.461
Br 0.000 0.000 2.461